<P>
Computed, not measured: crystalline Tb12Pm7Nd at its relaxed geometry at the GGA-PBE level of DFT.

Computed properties:
Space group: R-3, No. 148
Volume, Å³/cell: 669.74
Density, g/cm³: 7.603
Crystal system: trigonal

Cell lengths 8.7833, 8.7833, 8.7833 Å; angles 94.89, 94.89, 94.89 degrees
Last column: nearest neighbours and their distance in Å.
Sites, in units of the cell vectors:
1 Tb 0.1479 0.4826 0.4166  2 Pm 3.09-3.10, 2 Tb 3.11-3.37
2 Tb 0.1843 0.3170 0.7489  3 Tb 3.37-3.59, 4 Pm 3.41-3.77
3 Tb 0.2511 0.8157 0.6830  3 Tb 3.37-3.59, 4 Pm 3.41-3.77
4 Tb 0.3170 0.7489 0.1843  3 Tb 3.37-3.59, 4 Pm 3.41-3.77
5 Tb 0.4166 0.1479 0.4826  2 Pm 3.09-3.10, 2 Tb 3.11-3.37
6 Tb 0.4826 0.4166 0.1479  2 Pm 3.09-3.10, 2 Tb 3.11-3.37
7 Tb 0.5174 0.5834 0.8521  2 Pm 3.09-3.10, 2 Tb 3.11-3.37
8 Tb 0.5834 0.8521 0.5174  2 Pm 3.09-3.10, 2 Tb 3.11-3.37
9 Tb 0.6830 0.2511 0.8157  3 Tb 3.37-3.59, 4 Pm 3.41-3.77
10 Tb 0.7489 0.1843 0.3170  3 Tb 3.37-3.59, 4 Pm 3.41-3.77
11 Tb 0.8157 0.6830 0.2511  3 Tb 3.37-3.59, 4 Pm 3.41-3.77
12 Tb 0.8521 0.5174 0.5834  2 Pm 3.09-3.10, 2 Tb 3.11-3.37
13 Pm 0.0206 0.3560 0.0870  2 Tb 3.09-3.41, 1 Pm 3.10, 1 Nd 3.14
14 Pm 0.0870 0.0206 0.3560  2 Tb 3.09-3.41, 1 Pm 3.10, 1 Nd 3.14
15 Pm 0.3560 0.0870 0.0206  2 Tb 3.09-3.41, 1 Pm 3.10, 1 Nd 3.14
16 Pm 0.5000 0.5000 0.5000  6 Tb 3.10
17 Pm 0.6440 0.9130 0.9794  2 Tb 3.09-3.41, 1 Pm 3.10, 1 Nd 3.14
18 Pm 0.9130 0.9794 0.6440  2 Tb 3.09-3.41, 1 Pm 3.10, 1 Nd 3.14
19 Pm 0.9794 0.6440 0.9130  2 Tb 3.09-3.41, 1 Pm 3.10, 1 Nd 3.14
20 Nd 0.0000 0.0000 0.0000  6 Pm 3.14


<Q>
Computed, not measured: crystalline Tb12Pm7Nd at its relaxed geometry at the GGA-PBE level of DFT.

Computed properties:
Space group: Im-3m, No. 229
Volume, Å³/cell: 733.84
Density, g/cm³: 6.939
Crystal system: cubic

Cell lengths 9.8418, 9.8418, 9.8418 Å; angles 109.47, 109.47, 109.47 degrees
Last column: nearest neighbours and their distance in Å.
Sites, in units of the cell vectors:
1 Tb 0.0000 0.2506 0.7494  2 Pm 2.84
2 Tb 0.0000 0.7494 0.2506  2 Pm 2.84
3 Tb 0.2506 0.0000 0.7494  2 Pm 2.84
4 Tb 0.2506 0.2506 0.5013  2 Pm 2.84
5 Tb 0.2506 0.5013 0.2506  2 Pm 2.84
6 Tb 0.2506 0.7494 0.0000  2 Pm 2.84
7 Tb 0.4987 0.7494 0.7494  2 Pm 2.84
8 Tb 0.5013 0.2506 0.2506  2 Pm 2.84
9 Tb 0.7494 0.0000 0.2506  2 Pm 2.84
10 Tb 0.7494 0.2506 0.0000  2 Pm 2.84
11 Tb 0.7494 0.4987 0.7494  2 Pm 2.84
12 Tb 0.7494 0.7494 0.4987  2 Pm 2.84
13 Pm 0.0000 0.0000 0.5000  6 Tb 2.84
14 Pm 0.0000 0.5000 0.0000  6 Tb 2.84
15 Pm 0.0000 0.5000 0.5000  12 Tb 4.01-4.02
16 Pm 0.5000 0.0000 0.0000  6 Tb 2.84
17 Pm 0.5000 0.0000 0.5000  12 Tb 4.01-4.02
18 Pm 0.5000 0.5000 0.0000  12 Tb 4.01-4.02
19 Pm 0.5000 0.5000 0.5000  6 Tb 2.84
20 Nd 0.0000 0.0000 0.0000  12 Tb 4.03


Which structure is the least stable? The one labeled <Q>.


<P>
Computed, not measured: crystalline TbPm5Nd4 at its relaxed geometry at the GGA-PBE level of DFT.

Computed properties:
Space group: P4/nmm, No. 129
Volume, Å³/cell: 689.64
Density, g/cm³: 7.035
Crystal system: tetragonal

Cell lengths 10.8394, 10.8394, 5.8697 Å; angles 90.00, 90.00, 90.00 degrees
Last column: nearest neighbours and their distance in Å.
Sites, in units of the cell vectors:
1 Tb 0.2500 0.2500 0.1373  4 Nd 3.20
2 Tb 0.7500 0.7500 0.8627  4 Nd 3.20
3 Pm 0.0880 0.0880 0.6661  3 Pm 3.33-3.51, 2 Nd 3.56, 1 Tb 3.72
4 Pm 0.0880 0.4120 0.6661  3 Pm 3.33-3.51, 2 Nd 3.56, 1 Tb 3.72
5 Pm 0.2500 0.7500 0.5000  4 Nd 3.10
6 Pm 0.4120 0.0880 0.6661  3 Pm 3.33-3.51, 2 Nd 3.56, 1 Tb 3.72
7 Pm 0.4120 0.4120 0.6661  3 Pm 3.33-3.51, 2 Nd 3.56, 1 Tb 3.72
8 Pm 0.5880 0.5880 0.3339  3 Pm 3.33-3.51, 2 Nd 3.56, 1 Tb 3.72
9 Pm 0.5880 0.9120 0.3339  3 Pm 3.33-3.51, 2 Nd 3.56, 1 Tb 3.72
10 Pm 0.7500 0.2500 0.5000  4 Nd 3.10
11 Pm 0.9120 0.5880 0.3339  3 Pm 3.33-3.51, 2 Nd 3.56, 1 Tb 3.72
12 Pm 0.9120 0.9120 0.3339  3 Pm 3.33-3.51, 2 Nd 3.56, 1 Tb 3.72
13 Nd 0.0449 0.7500 0.8671  1 Pm 3.10, 1 Tb 3.20
14 Nd 0.2500 0.5449 0.1329  1 Pm 3.10, 1 Tb 3.20
15 Nd 0.2500 0.9551 0.1329  1 Pm 3.10, 1 Tb 3.20
16 Nd 0.4551 0.7500 0.8671  1 Pm 3.10, 1 Tb 3.20
17 Nd 0.5449 0.2500 0.1329  1 Pm 3.10, 1 Tb 3.20
18 Nd 0.7500 0.0449 0.8671  1 Pm 3.10, 1 Tb 3.20
19 Nd 0.7500 0.4551 0.8671  1 Pm 3.10, 1 Tb 3.20
20 Nd 0.9551 0.2500 0.1329  1 Pm 3.10, 1 Tb 3.20


<Q>
Computed, not measured: crystalline TbPm5Nd4 at its relaxed geometry at the GGA-PBE level of DFT.

Computed properties:
Space group: C2/m, No. 12
Volume, Å³/cell: 345.11
Density, g/cm³: 7.029
Crystal system: monoclinic

Cell lengths 13.1860, 13.1860, 7.3034 Å; angles 98.07, 98.07, 15.93 degrees
Last column: nearest neighbours and their distance in Å.
Sites, in units of the cell vectors:
1 Tb 0.0000 0.0000 0.0000  4 Nd 3.63, 6 Pm 3.64-3.65, 2 Tb 3.66
2 Pm 0.0000 0.0000 0.5000  6 Pm 3.64-3.66, 4 Nd 3.64, 2 Tb 3.65
3 Pm 0.1996 0.1996 0.5999  6 Nd 3.65-3.67, 6 Pm 3.66-3.67
4 Pm 0.4009 0.4009 0.1997  2 Tb 3.64, 6 Pm 3.64-3.67, 4 Nd 3.64-3.66
5 Pm 0.5991 0.5991 0.8003  2 Tb 3.64, 6 Pm 3.64-3.67, 4 Nd 3.64-3.66
6 Pm 0.8004 0.8004 0.4001  6 Nd 3.65-3.67, 6 Pm 3.66-3.67
7 Nd 0.1997 0.1997 0.0998  6 Pm 3.65-3.67, 6 Nd 3.66-3.67
8 Nd 0.4009 0.4009 0.7012  2 Tb 3.63, 6 Pm 3.64-3.67, 4 Nd 3.66-3.67
9 Nd 0.5991 0.5991 0.2988  2 Tb 3.63, 6 Pm 3.64-3.67, 4 Nd 3.66-3.67
10 Nd 0.8003 0.8003 0.9002  6 Pm 3.65-3.67, 6 Nd 3.66-3.67


Which structure is the least stable? The one labeled <P>.


<P>
Computed, not measured: crystalline Tb3PmNd2 at its relaxed geometry at the GGA-PBE level of DFT.

Computed properties:
Space group: C2/m, No. 12
Volume, Å³/cell: 404.45
Density, g/cm³: 7.474
Crystal system: monoclinic

Cell lengths 9.0112, 9.0112, 10.1821 Å; angles 122.56, 122.56, 36.42 degrees
Last column: nearest neighbours and their distance in Å.
Sites, in units of the cell vectors:
1 Tb 0.0500 0.0500 0.3971  8 Tb 3.37-3.78, 2 Nd 3.59, 1 Pm 3.63
2 Tb 0.2950 0.2950 0.5773  4 Tb 3.17-3.54, 1 Nd 3.19
3 Tb 0.3879 0.3879 0.3430  4 Tb 3.32-3.59, 3 Nd 3.35-3.42, 1 Pm 3.60
4 Tb 0.6121 0.6121 0.6570  4 Tb 3.32-3.59, 3 Nd 3.35-3.42, 1 Pm 3.60
5 Tb 0.7050 0.7050 0.4227  4 Tb 3.17-3.54, 1 Nd 3.19
6 Tb 0.9500 0.9500 0.6029  8 Tb 3.37-3.78, 2 Nd 3.59, 1 Pm 3.63
7 Pm 0.1340 0.1340 0.1403  5 Tb 3.60-3.70, 7 Nd 3.68-3.87, 1 Pm 3.79
8 Pm 0.8660 0.8660 0.8597  5 Tb 3.60-3.70, 7 Nd 3.68-3.87, 1 Pm 3.79
9 Nd 0.2270 0.2270 0.8708  3 Tb 3.42-3.77, 3 Nd 3.62-3.66, 2 Pm 3.73
10 Nd 0.4861 0.4861 0.1370  1 Nd 3.08, 2 Tb 3.19-3.35
11 Nd 0.5139 0.5139 0.8630  1 Nd 3.08, 2 Tb 3.19-3.35
12 Nd 0.7730 0.7730 0.1292  3 Tb 3.42-3.77, 3 Nd 3.62-3.66, 2 Pm 3.73


<Q>
Computed, not measured: crystalline Tb3PmNd2 at its relaxed geometry at the GGA-PBE level of DFT.

Computed properties:
Space group: C2/m, No. 12
Volume, Å³/cell: 408.49
Density, g/cm³: 7.401
Crystal system: monoclinic

Cell lengths 11.8833, 11.8833, 10.3981 Å; angles 108.34, 108.34, 17.06 degrees
Last column: nearest neighbours and their distance in Å.
Sites, in units of the cell vectors:
1 Tb 0.0591 0.0591 0.4461  8 Tb 3.31-3.69, 1 Nd 3.43
2 Tb 0.1948 0.1948 0.7154  3 Pm 3.40-3.59, 5 Tb 3.51-3.62, 3 Nd 3.55-3.56
3 Tb 0.4312 0.4312 0.2364  8 Tb 3.53-3.69, 2 Nd 3.66-3.91, 2 Pm 3.73
4 Tb 0.5688 0.5688 0.7636  8 Tb 3.53-3.69, 2 Nd 3.66-3.91, 2 Pm 3.73
5 Tb 0.8052 0.8052 0.2846  3 Pm 3.40-3.59, 5 Tb 3.51-3.62, 3 Nd 3.55-3.56
6 Tb 0.9409 0.9409 0.5539  8 Tb 3.31-3.69, 1 Nd 3.43
7 Pm 0.1875 0.1875 0.0365  5 Tb 3.40-3.73, 3 Nd 3.45-3.75, 4 Pm 3.53-3.70
8 Pm 0.8125 0.8125 0.9635  5 Tb 3.40-3.73, 3 Nd 3.45-3.75, 4 Pm 3.53-3.70
9 Nd 0.1911 0.1911 0.3712  4 Tb 3.43-3.56, 1 Pm 3.45, 6 Nd 3.53-3.64
10 Nd 0.4325 0.4325 0.8615  5 Nd 3.53-3.60, 4 Tb 3.66-3.91, 2 Pm 3.75
11 Nd 0.5675 0.5675 0.1385  5 Nd 3.53-3.60, 4 Tb 3.66-3.91, 2 Pm 3.75
12 Nd 0.8089 0.8089 0.6288  4 Tb 3.43-3.56, 1 Pm 3.45, 6 Nd 3.53-3.64


Which structure is the least stable? The one labeled <Q>.


<P>
Computed, not measured: crystalline TbPmNdZn at its relaxed geometry at the GGA-PBE level of DFT.

Computed properties:
Space group: P4mm, No. 99
Volume, Å³/cell: 116.10
Density, g/cm³: 7.345
Crystal system: tetragonal

Cell lengths 3.6367, 3.6367, 8.7786 Å; angles 90.00, 90.00, 90.00 degrees
Last column: nearest neighbours and their distance in Å.
Sites, in units of the cell vectors:
1 Tb 0.0000 0.0000 0.0000  4 Zn 3.09
2 Pm 0.0000 0.0000 0.4090  4 Zn 3.18
3 Nd 0.5000 0.5000 0.7088  4 Tb 3.63, 4 Nd 3.64, 4 Pm 3.68
4 Zn 0.5000 0.5000 0.1951  4 Tb 3.09, 4 Pm 3.18


<Q>
Computed, not measured: crystalline TbPmNdZn at its relaxed geometry at the GGA-PBE level of DFT.

Computed properties:
Space group: F-43m, No. 216
Volume, Å³/cell: 455.32
Density, g/cm³: 7.492
Crystal system: cubic

Cell lengths 7.6932, 7.6932, 7.6932 Å; angles 90.00, 90.00, 90.00 degrees
Last column: nearest neighbours and their distance in Å.
Sites, in units of the cell vectors:
1 Tb 0.0000 0.0000 0.0000  4 Pm 3.33, 4 Zn 3.33
2 Tb 0.0000 0.5000 0.5000  4 Pm 3.33, 4 Zn 3.33
3 Tb 0.5000 0.0000 0.5000  4 Pm 3.33, 4 Zn 3.33
4 Tb 0.5000 0.5000 0.0000  4 Pm 3.33, 4 Zn 3.33
5 Pm 0.2500 0.2500 0.2500  4 Tb 3.33, 4 Nd 3.33
6 Pm 0.2500 0.7500 0.7500  4 Tb 3.33, 4 Nd 3.33
7 Pm 0.7500 0.2500 0.7500  4 Tb 3.33, 4 Nd 3.33
8 Pm 0.7500 0.7500 0.2500  4 Tb 3.33, 4 Nd 3.33
9 Nd 0.0000 0.0000 0.5000  4 Zn 3.33, 4 Pm 3.33
10 Nd 0.0000 0.5000 0.0000  4 Zn 3.33, 4 Pm 3.33
11 Nd 0.5000 0.0000 0.0000  4 Zn 3.33, 4 Pm 3.33
12 Nd 0.5000 0.5000 0.5000  4 Zn 3.33, 4 Pm 3.33
13 Zn 0.2500 0.2500 0.7500  4 Tb 3.33, 4 Nd 3.33
14 Zn 0.2500 0.7500 0.2500  4 Tb 3.33, 4 Nd 3.33
15 Zn 0.7500 0.2500 0.2500  4 Tb 3.33, 4 Nd 3.33
16 Zn 0.7500 0.7500 0.7500  4 Tb 3.33, 4 Nd 3.33


Which structure is the least stable? The one labeled <Q>.


<P>
Computed, not measured: crystalline PmNdTc at its relaxed geometry at the GGA-PBE level of DFT.

Computed properties:
Space group: P2_1/m, No. 11
Volume, Å³/cell: 169.40
Density, g/cm³: 7.592
Crystal system: monoclinic

Cell lengths 5.6362, 5.0618, 6.0449 Å; angles 90.00, 100.79, 90.00 degrees
Last column: nearest neighbours and their distance in Å.
Sites, in units of the cell vectors:
1 Pm 0.0232 0.2500 0.1764  3 Tc 2.76-2.88
2 Pm 0.9768 0.7500 0.8236  3 Tc 2.76-2.88
3 Nd 0.4254 0.2500 0.7013  2 Tc 2.82-2.95
4 Nd 0.5746 0.7500 0.2987  2 Tc 2.82-2.95
5 Tc 0.1079 0.7500 0.4052  3 Pm 2.76-2.88, 2 Nd 2.82-2.95
6 Tc 0.8921 0.2500 0.5948  3 Pm 2.76-2.88, 2 Nd 2.82-2.95


<Q>
Computed, not measured: crystalline PmNdTc at its relaxed geometry at the GGA-PBE level of DFT.

Computed properties:
Space group: I4mm, No. 107
Volume, Å³/cell: 165.42
Density, g/cm³: 7.774
Crystal system: tetragonal

Cell lengths 3.5306, 3.5306, 13.2711 Å; angles 90.00, 90.00, 90.00 degrees
Last column: nearest neighbours and their distance in Å.
Sites, in units of the cell vectors:
1 Pm 0.0000 0.0000 0.0000  4 Tc 3.00
2 Pm 0.5000 0.5000 0.5000  4 Tc 3.00
3 Nd 0.0000 0.0000 0.7457  4 Tc 3.02, 1 Pm 3.37
4 Nd 0.5000 0.5000 0.2457  4 Tc 3.02, 1 Pm 3.37
5 Tc 0.0000 0.0000 0.3740  4 Pm 3.00, 4 Nd 3.02
6 Tc 0.5000 0.5000 0.8740  4 Pm 3.00, 4 Nd 3.02


Which structure is the least stable? The one labeled <P>.